## CaPrLu2 (GGA-PBE)

Data for a relaxed structure of CaPrLu2.

Output
Total moment (μB per formula unit): 0.0
DOS at the Fermi energy (states/eV per atom): 1.44
Excess energy over the best structure of this formula in the dataset (meV/atom): 63
Energy relative to the elements (eV per atom): 0.16

a b c (Å): 5.734 5.734 5.734
angles (deg): 60.00 60.00 60.00
Element x y z (fractional)
Pr 0.000 0.000 0.000
Ca 0.500 0.500 0.500
Lu 0.250 0.250 0.250
Lu 0.750 0.750 0.750